No. 1
Below is a geometry-optimized RbLaCdS3 structure, with properties calculated at the PBE-GGA level.

Calculated values
As for the density of states at the Fermi level: 0.00 states/eV per cell. The total energy is -4.63 eV/atom.

CIF file:
```
data_RbLaCdS3
_chemical_formula_sum 'Rb2 La2 Cd2 S6'
_cell_length_a 9.144
_cell_length_b 4.319
_cell_length_c 10.099
_cell_angle_alpha 90.00
_cell_angle_beta 105.32
_cell_angle_gamma 90.00
_symmetry_space_group_name_H-M 'P 1 21/m 1'
_symmetry_Int_Tables_number 11
loop_
_symmetry_equiv_pos_as_xyz
'x,y,z'
'-x,-y,-z'
'-x,y+1/2,-z'
'x,-y+1/2,z'
loop_
_atom_site_label
_atom_site_type_symbol
_atom_site_fract_x
_atom_site_fract_y
_atom_site_fract_z
Rb1 Rb 0.199 0.250 0.220
La1 La 0.335 0.750 0.855
Cd1 Cd 0.086 0.250 0.609
S1 S 0.121 0.250 0.863
S2 S 0.203 0.750 0.534
S3 S 0.457 0.750 0.144
```

---

No. 2
Below is a geometry-optimized CsTiMo2P structure, with properties calculated at the PBE-GGA level.

Calculated values
As for the density of states at the Fermi level: 5.91 states/eV per cell. The calculation puts the energy relative to the elements at 1.94 eV/atom. The total energy is -5.22 eV/atom.

CIF file:
```
data_CsTiMo2P
_chemical_formula_sum 'Cs1 Ti1 Mo2 P1'
_cell_length_a 4.784
_cell_length_b 4.784
_cell_length_c 5.539
_cell_angle_alpha 90.00
_cell_angle_beta 90.00
_cell_angle_gamma 90.00
_symmetry_space_group_name_H-M 'P 4/m m m'
_symmetry_Int_Tables_number 123
_symmetry_space_group_name_Hall '-P 4 2'
loop_
_atom_site_label
_atom_site_type_symbol
_atom_site_fract_x
_atom_site_fract_y
_atom_site_fract_z
Cs1 Cs 0.000 0.000 0.000
Ti1 Ti 0.000 0.000 0.500
Mo1 Mo 0.000 0.500 0.500
P1 P 0.500 0.500 0.000
```

---

No. 3
Below is a geometry-optimized CaSc2F2 structure, with properties calculated at the PBE-GGA level.

Calculated values
As for the density of states at the Fermi level: 12.44 states/eV per cell. The total energy is -4.84 eV/atom. For the relative energy among the computed polymorphs, the calculation gives 696 meV per atom.

CIF file:
```
data_CaSc2F2
_chemical_formula_sum 'Ca2 Sc4 F4'
_cell_length_a 8.907
_cell_length_b 8.907
_cell_length_c 2.929
_cell_angle_alpha 90.00
_cell_angle_beta 90.00
_cell_angle_gamma 90.00
_symmetry_space_group_name_H-M 'P 4/m b m'
_symmetry_Int_Tables_number 127
_symmetry_space_group_name_Hall '-P 4 2ab'
loop_
_atom_site_label
_atom_site_type_symbol
_atom_site_fract_x
_atom_site_fract_y
_atom_site_fract_z
Ca1 Ca 0.000 0.000 0.000
Sc1 Sc 0.117 0.383 0.000
F1 F 0.090 0.590 0.500
```

---

No. 4
Below is a geometry-optimized CaNd6Er12 structure, with properties calculated at the PBE-GGA level.

Calculated values
As for the density of states at the Fermi level: 86.92 states/eV per cell. The calculation puts the energy relative to the elements at 0.45 eV/atom. The total energy is -4.04 eV/atom.

CIF file:
```
data_CaNd6Er12
_chemical_formula_sum 'Ca3 Nd18 Er36'
_cell_length_a 14.9084
_cell_length_b 14.9084
_cell_length_c 10.5929
_cell_angle_alpha 90.00
_cell_angle_beta 90.00
_cell_angle_gamma 120.00
_symmetry_space_group_name_H-M 'R -3 m'
_symmetry_Int_Tables_number 166
_symmetry_space_group_name_Hall '-R 3 2"'
loop_
_atom_site_label
_atom_site_type_symbol
_atom_site_fract_x
_atom_site_fract_y
_atom_site_fract_z
Ca1 Ca 0.0000 0.0000 0.0000
Nd1 Nd 0.0726 0.5363 0.2229
Er1 Er 0.0000 0.3876 0.5000
Er2 Er 0.0796 0.1593 0.2559
```

---

No. 5
Below is a geometry-optimized CsLaSO structure, with properties calculated at the PBE-GGA level.

Calculated values
As for the density of states at the Fermi level: 0.00 states/eV per cell. The total energy is -5.88 eV/atom.

CIF file:
```
data_CsLaSO
_chemical_formula_sum 'Cs2 La2 S2 O2'
_cell_length_a 6.930
_cell_length_b 4.001
_cell_length_c 8.176
_cell_angle_alpha 90.00
_cell_angle_beta 106.30
_cell_angle_gamma 90.00
_symmetry_space_group_name_H-M 'C 1 m 1'
_symmetry_Int_Tables_number 8
loop_
_symmetry_equiv_pos_as_xyz
'x,y,z'
'x,-y,z'
'x+1/2,y+1/2,z'
'x+1/2,-y+1/2,z'
loop_
_atom_site_label
_atom_site_type_symbol
_atom_site_fract_x
_atom_site_fract_y
_atom_site_fract_z
Cs1 Cs 0.000 0.000 0.000
La1 La 0.340 0.500 0.524
S1 S 0.431 0.000 0.295
O1 O 0.211 0.000 0.637
```

---

No. 6
Below is a geometry-optimized HfNb3O structure, with properties calculated at the PBE-GGA level.

Calculated values
As for the density of states at the Fermi level: 3.63 states/eV per cell. The total energy is -9.72 eV/atom. For the relative energy among the computed polymorphs, the calculation gives 0 meV per atom.

CIF file:
```
data_HfNb3O
_chemical_formula_sum 'Hf1 Nb3 O1'
_cell_length_a 4.359
_cell_length_b 4.359
_cell_length_c 4.359
_cell_angle_alpha 90.00
_cell_angle_beta 90.00
_cell_angle_gamma 90.00
_symmetry_space_group_name_H-M 'P m -3 m'
_symmetry_Int_Tables_number 221
_symmetry_space_group_name_Hall '-P 4 2 3'
loop_
_atom_site_label
_atom_site_type_symbol
_atom_site_fract_x
_atom_site_fract_y
_atom_site_fract_z
Hf1 Hf 0.000 0.000 0.000
Nb1 Nb 0.000 0.500 0.500
O1 O 0.500 0.500 0.500
```